LiTeS2N | PBE-GGA | optimized geometry

E: -3.342 eV per atom
Magnetization: 0.000 μB/atom
Offset from the most stable computed form: 400.2 meV per atom
ΔE_f (raw): 985 meV/atom
Fermi-level density of states: 0.817 states/eV/atom

Lattice parameters (Å, degrees): 4.680 4.680 3.635 90.00 90.00 90.00
Fractional positions:
Li  0.000  0.000  0.000
N  0.000  0.000  0.500
S  0.000  0.500  0.000
S  0.500  0.000  0.000
Te  0.500  0.500  0.500